(1)
Re4AgOs: relaxed, PBE.

energy relative to the elements	15.6	kcal/mol of atoms
SG	No. 216
D(E_F)	0.64	states/eV per atom

a = 5.1554 Å, b = 5.1554 Å, c = 5.1554 Å
α = 60.00°, β = 60.00°, γ = 60.00°
Last column: nearest neighbours and their distance in Å.
Atoms (fractional coordinates):
Re  0.8726  0.3758  0.3758  6 Re 2.56-2.59
Re  0.3758  0.3758  0.8726  6 Re 2.56-2.59
Re  0.3758  0.8726  0.3758  6 Re 2.56-2.59
Re  0.3758  0.3758  0.3758  6 Re 2.56-2.59
Ag  0.7500  0.7500  0.7500  12 Re 3.02, 4 Os 3.16
Os  0.0000  0.0000  0.0000  12 Re 3.02, 4 Ag 3.16


(2)
Tb2SmScSe6: relaxed, PBE.

formation energy from raw total energies	-1.79	eV/atom
SG	No. 146
D(E_F)	0.00	states/eV per atom

a = 7.1675 Å, b = 7.1674 Å, c = 7.6549 Å
α = 62.08°, β = 62.08°, γ = 59.99°
Last column: nearest neighbours and their distance in Å.
Atoms (fractional coordinates):
Tb  0.5174  0.5174  0.4479  6 Se 2.87-2.92
Tb  0.0134  0.0135  0.9597  6 Se 2.84-2.92
Sm  0.8167  0.8168  0.5497  6 Se 2.88-2.97
Sc  0.3219  0.3219  0.0342  6 Se 2.73-2.76
Se  0.5927  0.2211  0.2488  1 Sc 2.73, 2 Tb 2.87-2.92, 1 Sm 2.97
Se  0.2210  0.9374  0.2489  1 Sc 2.73, 2 Tb 2.87-2.92, 1 Sm 2.97
Se  0.9374  0.5927  0.2489  1 Sc 2.73, 2 Tb 2.87-2.92, 1 Sm 2.97
Se  0.4126  0.7098  0.7590  1 Sc 2.76, 2 Tb 2.84-2.92, 1 Sm 2.88
Se  0.7098  0.1185  0.7591  1 Sc 2.76, 2 Tb 2.84-2.92, 1 Sm 2.88
Se  0.1186  0.4126  0.7590  1 Sc 2.76, 2 Tb 2.84-2.92, 1 Sm 2.88


(3)
Sr5CeN4: relaxed, PBE.

formation energy from raw total energies	-0.73	eV/atom
SG	No. 12
D(E_F)	0.30	states/eV per atom

a = 3.7511 Å, b = 7.7064 Å, c = 8.5719 Å
α = 78.89°, β = 102.64°, γ = 90.00°
Last column: nearest neighbours and their distance in Å.
Atoms (fractional coordinates):
Sr  0.8389  0.8539  0.6778  3 N 2.53-2.63
Sr  0.8458  0.2910  0.6916  3 N 2.54
Sr  0.1542  0.7090  0.3084  3 N 2.54
Sr  0.5000  0.5000  0.0000  4 N 2.83
Sr  0.1611  0.1461  0.3222  3 N 2.53-2.63
Ce  0.5000  0.0000  0.0000  6 N 2.41-2.56
N  0.3530  0.0662  0.7061  1 Ce 2.41, 4 Sr 2.53-2.54
N  0.9993  0.7745  0.9985  4 Sr 2.54-2.83, 2 Ce 2.56
N  0.6470  0.9338  0.2939  1 Ce 2.41, 4 Sr 2.53-2.54
N  0.0007  0.2255  0.0015  4 Sr 2.54-2.83, 2 Ce 2.56


(4)
Pr3Sm8Tm3: relaxed, PBE.

energy relative to the elements	2.3	kcal/mol of atoms
SG	No. 71
D(E_F)	1.49	states/eV per atom

a = 5.7301 Å, b = 9.7944 Å, c = 9.7943 Å
α = 102.17°, β = 72.99°, γ = 72.99°
Last column: nearest neighbours and their distance in Å.
Atoms (fractional coordinates):
Pr  0.5000  0.0000  0.0000  4 Tm 3.61-3.62, 4 Pr 3.98, 4 Sm 4.01
Pr  0.0000  0.8192  0.1808  2 Tm 3.53, 8 Sm 3.68-3.75
Pr  0.0000  0.1808  0.8192  2 Tm 3.53, 8 Sm 3.68-3.75
Sm  0.6598  0.1196  0.5601  6 Sm 3.33-3.59, 1 Tm 3.67, 2 Pr 3.68
Sm  0.3402  0.8804  0.4399  6 Sm 3.33-3.59, 1 Tm 3.67, 2 Pr 3.68
Sm  0.6598  0.5601  0.1196  6 Sm 3.33-3.59, 1 Tm 3.67, 2 Pr 3.68
Sm  0.3402  0.4399  0.8804  6 Sm 3.33-3.59, 1 Tm 3.67, 2 Pr 3.68
Sm  0.8393  0.7633  0.5588  4 Sm 3.12-3.38
Sm  0.1607  0.2367  0.4412  4 Sm 3.12-3.38
Sm  0.8393  0.5589  0.7633  4 Sm 3.12-3.38
Sm  0.1607  0.4411  0.2367  4 Sm 3.12-3.38
Tm  0.5000  0.5000  0.5000  2 Tm 3.24
Tm  0.7976  0.2025  0.2025  1 Tm 3.24, 4 Pr 3.53-3.62, 4 Sm 3.58-3.59
Tm  0.2024  0.7975  0.7975  1 Tm 3.24, 4 Pr 3.53-3.62, 4 Sm 3.58-3.59


(5)
Ce5PaOs4: relaxed, PBE.

energy relative to the elements	-2.9	kcal/mol of atoms
SG	No. 12
D(E_F)	1.71	states/eV per atom

a = 4.1122 Å, b = 7.6436 Å, c = 8.8561 Å
α = 107.74°, β = 103.42°, γ = 90.00°
Last column: nearest neighbours and their distance in Å.
Atoms (fractional coordinates):
Ce  0.8284  0.6357  0.6569  3 Os 2.73-2.80
Ce  0.8347  0.1369  0.6695  4 Os 2.68-2.88
Ce  0.1653  0.8631  0.3305  4 Os 2.68-2.88
Ce  0.5000  0.5000  0.0000  4 Os 2.78
Ce  0.1716  0.3643  0.3431  3 Os 2.73-2.80
Pa  0.5000  0.0000  0.0000  6 Os 2.84-2.93
Os  0.3209  0.8643  0.6417  5 Ce 2.68-2.88, 1 Pa 2.93
Os  0.9995  0.7440  0.9991  4 Ce 2.71-2.80, 2 Pa 2.84
Os  0.6792  0.1357  0.3583  5 Ce 2.68-2.88, 1 Pa 2.93
Os  0.0005  0.2560  0.0009  4 Ce 2.71-2.80, 2 Pa 2.84


(6)
Rb3TiC: relaxed, PBE.

energy relative to the elements	42.4	kcal/mol of atoms
SG	No. 221
D(E_F)	3.98	states/eV per atom

a = 6.0805 Å, b = 6.0805 Å, c = 6.0805 Å
α = 90.00°, β = 90.00°, γ = 90.00°
Last column: nearest neighbours and their distance in Å.
Atoms (fractional coordinates):
C  0.0000  0.0000  0.0000  6 Rb 3.04
Rb  0.0000  0.5000  0.0000  2 C 3.04
Rb  0.0000  0.0000  0.5000  2 C 3.04
Rb  0.5000  0.0000  0.0000  2 C 3.04
Ti  0.5000  0.5000  0.5000  12 Rb 4.30


(7)
RbSrTl2Cl8: relaxed, PBE.

formation energy from raw total energies	-1.27	eV/atom
SG	No. 147
D(E_F)	0.61	states/eV per atom

a = 7.0528 Å, b = 7.0528 Å, c = 10.1411 Å
α = 90.00°, β = 90.00°, γ = 120.00°
Last column: nearest neighbours and their distance in Å.
Atoms (fractional coordinates):
Rb  0.0000  0.0000  0.0000  12 Cl 3.90-4.07
Sr  0.0000  0.0000  0.5000  6 Cl 2.91
Tl  0.6667  0.3333  0.2439  4 Cl 2.52-2.61
Tl  0.3333  0.6667  0.7561  4 Cl 2.52-2.61
Cl  0.3333  0.6667  0.0043  1 Tl 2.52
Cl  0.3066  0.3242  0.3155  1 Tl 2.61, 1 Sr 2.91
Cl  0.6758  0.9825  0.3155  1 Tl 2.61, 1 Sr 2.91
Cl  0.6667  0.3333  0.9957  1 Tl 2.52
Cl  0.3242  0.0175  0.6845  1 Tl 2.61, 1 Sr 2.91
Cl  0.6934  0.6758  0.6845  1 Tl 2.61, 1 Sr 2.91
Cl  0.9825  0.3066  0.6845  1 Tl 2.61, 1 Sr 2.91
Cl  0.0175  0.6934  0.3155  1 Tl 2.61, 1 Sr 2.91


(8)
Li2InGa2Pd2: relaxed, PBE.

energy relative to the elements	-11.9	kcal/mol of atoms
SG	No. 12
D(E_F)	0.27	states/eV per atom

a = 4.3600 Å, b = 4.3679 Å, c = 7.2286 Å
α = 107.38°, β = 90.00°, γ = 119.94°
Last column: nearest neighbours and their distance in Å.
Atoms (fractional coordinates):
Li  0.1421  0.2843  0.4271  1 Pd 2.64, 3 Ga 2.70, 3 Li 2.70-2.71, 1 In 2.90
Li  0.8579  0.7157  0.5729  1 Pd 2.64, 3 Ga 2.70, 3 Li 2.70-2.71, 1 In 2.90
In  0.0000  0.0000  0.0000  6 Pd 2.81, 2 Li 2.90
Ga  0.5723  0.1445  0.7159  3 Pd 2.61, 3 Li 2.70
Ga  0.4277  0.8555  0.2841  3 Pd 2.61, 3 Li 2.70
Pd  0.7274  0.4547  0.1834  3 Ga 2.61, 1 Li 2.64, 3 In 2.81
Pd  0.2726  0.5453  0.8166  3 Ga 2.61, 1 Li 2.64, 3 In 2.81